First-principles (GGA-PBE) data for crystalline Ta2Ni9H at its relaxed geometry, as listed in the Alexandria database.

Lattice parameters (Å, degrees): 3.636 3.636 10.422 90.00 90.00 90.00
Fractional positions:
Ta1 0.000 0.000 0.184
Ta2 0.000 0.000 0.816
Ni1 0.000 0.500 0.000
Ni2 0.000 0.500 0.353
Ni3 0.000 0.500 0.647
Ni4 0.500 0.000 0.000
Ni5 0.500 0.000 0.353
Ni6 0.500 0.000 0.647
Ni7 0.500 0.500 0.175
Ni8 0.500 0.500 0.500
Ni9 0.500 0.500 0.825
H1 0.000 0.000 0.500

Output
Space-group type: No. 123
Magnetization: 0.478 μB/cell
Volume: 138 Å³ per cell
Electronic total energy: -6.691 eV/atom